# 1
Density functional theory data (PBE) for a relaxed structure of LiAc2Bi4Pd3.

Cell: 4.7266 4.7266 11.7471 Å, 90.00 90.00 90.00°
Closest atoms and distances in Å follow each position.
Atoms (fractional coordinates):
Pd  0.5000  0.0000  0.8616  5 Bi 2.73-2.87
Bi  0.5000  0.0000  0.6292  3 Pd 2.73-2.81, 2 Li 2.81
Bi  0.0000  0.5000  0.3708  3 Pd 2.73-2.81, 2 Li 2.81
Pd  0.0000  0.0000  0.5000  4 Bi 2.81
Ac  0.5000  0.0000  0.2597  8 Bi 3.59-3.86, 6 Pd 3.63-3.68, 2 Li 3.68
Li  0.5000  0.5000  0.5000  4 Bi 2.81
Bi  0.5000  0.5000  0.0000  4 Pd 2.87
Ac  0.0000  0.5000  0.7403  8 Bi 3.59-3.86, 6 Pd 3.63-3.68, 2 Li 3.68
Bi  0.0000  0.0000  0.0000  4 Pd 2.87
Pd  0.0000  0.5000  0.1384  5 Bi 2.73-2.87

Summary:
Its formation enthalpy at 0 K is -682.7 meV per atom. Its electronic total energy is -4.806 eV/atom.



# 2
Density functional theory data (PBE) for a relaxed structure of CsScBi2.

Cell: 3.6343 3.6343 10.0922 Å, 90.00 90.00 90.00°
Closest atoms and distances in Å follow each position.
Atoms (fractional coordinates):
Cs  0.5000  0.5000  0.5000  4 Cs 3.63, 8 Bi 3.99
Sc  0.5000  0.5000  0.0000  8 Bi 3.25, 4 Sc 3.63
Bi  0.0000  0.0000  0.1971  4 Sc 3.25, 4 Bi 3.63
Bi  0.0000  0.0000  0.8029  4 Sc 3.25, 4 Bi 3.63

Summary:
Its formation enthalpy at 0 K is -409.6 meV per atom. Its electronic total energy is -4.146 eV/atom.



# 3
Density functional theory data (PBE) for a relaxed structure of Ac6Cd3Hg.

Cell: 5.8042 10.1051 12.8691 Å, 108.57 90.00 90.00°
Closest atoms and distances in Å follow each position.
Atoms (fractional coordinates):
Ac  0.2500  0.2584  0.5026  4 Cd 3.43-3.64, 3 Hg 3.57-3.67
Cd  0.7500  0.2302  0.0272  9 Ac 3.55-3.78, 1 Cd 3.85
Hg  0.7500  0.0494  0.4049  8 Ac 3.36-3.67
Cd  0.2500  0.3882  0.7837  8 Ac 3.38-3.77
Ac  0.2500  0.1280  0.1509  6 Ac 3.57-3.87, 3 Cd 3.62
Ac  0.2500  0.8468  0.3179  3 Hg 3.38-3.52, 3 Cd 3.52-3.71
Ac  0.7500  0.7416  0.4974  4 Cd 3.43-3.64, 3 Hg 3.57-3.67
Cd  0.7500  0.6118  0.2163  8 Ac 3.38-3.77
Ac  0.7500  0.3420  0.3233  5 Cd 3.42-3.64, 1 Hg 3.44
Ac  0.7500  0.8960  0.1319  1 Hg 3.36, 3 Cd 3.38-3.55, 3 Ac 3.57-3.69
Cd  0.2500  0.7698  0.9728  9 Ac 3.55-3.78, 1 Cd 3.85
Ac  0.7500  0.5280  0.9088  7 Cd 3.40-3.78, 1 Ac 3.79
Ac  0.2500  0.4720  0.0912  7 Cd 3.40-3.78, 1 Ac 3.79
Cd  0.7500  0.4690  0.6216  8 Ac 3.42-3.64, 2 Cd 3.81
Ac  0.2500  0.1040  0.8681  1 Hg 3.36, 3 Cd 3.38-3.55, 3 Ac 3.57-3.69
Ac  0.7500  0.8720  0.8491  6 Ac 3.57-3.87, 3 Cd 3.62
Cd  0.2500  0.5310  0.3784  8 Ac 3.42-3.64, 2 Cd 3.81
Ac  0.7500  0.1532  0.6821  3 Hg 3.38-3.52, 3 Cd 3.52-3.71
Ac  0.2500  0.6580  0.6767  5 Cd 3.42-3.64, 1 Hg 3.44
Hg  0.2500  0.9506  0.5951  8 Ac 3.36-3.67

Summary:
Its formation enthalpy at 0 K is -219.8 meV per atom. Its electronic total energy is -2.990 eV/atom.



# 4
Density functional theory data (PBE) for a relaxed structure of Sr2Sn4Bi.

Cell: 6.5557 6.5557 7.0842 Å, 117.56 117.56 89.99°
Closest atoms and distances in Å follow each position.
Atoms (fractional coordinates):
Sr  0.2857  0.7855  0.5714  2 Bi 3.28, 8 Sn 3.54
Sn  0.2858  0.7857  0.0714  4 Sn 3.28, 4 Sr 3.54, 2 Bi 3.54
Sn  0.7860  0.7860  0.0716  4 Sn 3.28, 2 Bi 3.54, 4 Sr 3.54
Bi  0.7857  0.7857  0.5715  4 Sr 3.28, 8 Sn 3.54
Sn  0.2857  0.2857  0.0713  4 Sn 3.28, 4 Sr 3.54, 2 Bi 3.54
Sr  0.7855  0.2857  0.5714  2 Bi 3.28, 8 Sn 3.54
Sn  0.7857  0.2858  0.0714  4 Sn 3.28, 4 Sr 3.54, 2 Bi 3.54

Summary:
Its formation enthalpy at 0 K is -355.6 meV per atom. Its electronic total energy is -3.678 eV/atom.



# 5
Density functional theory data (PBE) for a relaxed structure of YNi2W.

Cell: 4.4619 4.4619 4.4619 Å, 60.00 60.00 60.00°
Closest atoms and distances in Å follow each position.
Atoms (fractional coordinates):
Ni  0.2500  0.2500  0.2500  4 W 2.73, 4 Ni 2.73
W  0.5000  0.5000  0.5000  4 Y 2.73, 4 Ni 2.73
Ni  0.0000  0.0000  0.0000  4 Ni 2.73, 4 Y 2.73
Y  0.7500  0.7500  0.7500  4 W 2.73, 4 Ni 2.73

Summary:
Its formation enthalpy at 0 K is 503.9 meV per atom. Its electronic total energy is -7.241 eV/atom.



# 6
Density functional theory data (PBE) for a relaxed structure of TlCuSn.

Cell: 5.2146 5.2146 6.0945 Å, 90.00 90.00 120.00°
Closest atoms and distances in Å follow each position.
Atoms (fractional coordinates):
Cu  0.0000  0.0000  0.5000  2 Cu 3.05, 6 Tl 3.37, 6 Sn 3.37
Tl  0.6667  0.3333  0.7500  5 Sn 3.01-3.05
Cu  0.0000  0.0000  0.0000  2 Cu 3.05, 6 Tl 3.37, 6 Sn 3.37
Sn  0.6667  0.3333  0.2500  5 Tl 3.01-3.05
Tl  0.3333  0.6667  0.2500  5 Sn 3.01-3.05
Sn  0.3333  0.6667  0.7500  5 Tl 3.01-3.05

Summary:
Its formation enthalpy at 0 K is 469.3 meV per atom. Its electronic total energy is -3.019 eV/atom.



# 7
Density functional theory data (PBE) for a relaxed structure of Rb3Pu2MnS6.

Cell: 6.9805 6.9805 7.9786 Å, 98.36 98.36 119.99°
Closest atoms and distances in Å follow each position.
Atoms (fractional coordinates):
Rb  0.8354  0.1646  0.5000  6 S 3.32-3.36
Rb  0.5000  0.5000  0.5000  6 S 3.33-3.35
Mn  0.0000  0.0000  0.0000  6 S 2.71-2.72
S  0.7312  0.7312  0.1865  1 Mn 2.71, 2 Pu 2.74
Rb  0.1646  0.8354  0.5000  6 S 3.32-3.36
S  0.3932  0.0624  0.1872  1 Mn 2.72, 2 Pu 2.74
S  0.9376  0.6068  0.8128  1 Mn 2.72, 2 Pu 2.74
S  0.2688  0.2688  0.8135  1 Mn 2.71, 2 Pu 2.74
Pu  0.6668  0.3332  0.0000  6 S 2.74
S  0.6068  0.9376  0.8128  1 Mn 2.72, 2 Pu 2.74
S  0.0624  0.3932  0.1872  1 Mn 2.72, 2 Pu 2.74
Pu  0.3332  0.6668  0.0000  6 S 2.74

Summary:
The value obtained for the formation energy from raw total energies is -15.4 eV/f.u. Its electronic total energy is -6.741 eV/atom.



# 8
Density functional theory data (PBE) for a relaxed structure of Hf2Ga2Hg.

Cell: 8.0498 8.0498 3.1896 Å, 90.00 90.00 90.00°
Closest atoms and distances in Å follow each position.
Atoms (fractional coordinates):
Hf  0.8676  0.6324  0.0000  6 Ga 2.77-2.92, 1 Hf 3.02
Hf  0.1324  0.3676  0.0000  6 Ga 2.77-2.92, 1 Hf 3.02
Ga  0.3310  0.1690  0.5000  6 Hf 2.77-2.92
Ga  0.8310  0.3310  0.5000  6 Hf 2.77-2.92
Hg  0.5000  0.5000  0.0000  4 Hf 3.14, 2 Hg 3.19, 8 Ga 3.39
Hf  0.6324  0.1324  0.0000  6 Ga 2.77-2.92, 1 Hf 3.02
Ga  0.1690  0.6690  0.5000  6 Hf 2.77-2.92
Hg  0.0000  0.0000  0.0000  4 Hf 3.14, 2 Hg 3.19, 8 Ga 3.39
Ga  0.6690  0.8310  0.5000  6 Hf 2.77-2.92
Hf  0.3676  0.8676  0.0000  6 Ga 2.77-2.92, 1 Hf 3.02

Summary:
Its formation enthalpy at 0 K is -105.3 meV per atom. Its electronic total energy is -5.358 eV/atom.



> What is the electronic total energy in the fourth record?

-3.678 eV/atom



> What is the formula in the second record?

CsScBi2



> What is the formula in the fifth record?

YNi2W



What did the second record say?
Density functional theory data (PBE) for a relaxed structure of CsScBi2.

Cell: 3.6343 3.6343 10.0922 Å, 90.00 90.00 90.00°
Closest atoms and distances in Å follow each position.
Atoms (fractional coordinates):
Cs  0.5000  0.5000  0.5000  4 Cs 3.63, 8 Bi 3.99
Sc  0.5000  0.5000  0.0000  8 Bi 3.25, 4 Sc 3.63
Bi  0.0000  0.0000  0.1971  4 Sc 3.25, 4 Bi 3.63
Bi  0.0000  0.0000  0.8029  4 Sc 3.25, 4 Bi 3.63

Summary:
Its formation enthalpy at 0 K is -409.6 meV per atom. Its electronic total energy is -4.146 eV/atom.